Entry 1:
The following is a PBE calculation of crystalline LiOsRh2 at its relaxed geometry, from the Alexandria database.

Computed properties:
E_form = 156 meV/atom
calculated density = 12.8 g cm⁻³

Unit cell a=4.925 b=4.925 c=4.925 alpha=146.26 beta=126.93 gamma=64.38
Sites, in units of the cell vectors:
Li (0.000, 0.000, 0.000)
Os (0.500, 0.500, 0.000)
Rh (0.232, 0.732, 0.500)
Rh (0.768, 0.268, 0.500)

Entry 2:
The following is a PBE calculation of crystalline AsPIrSe2 at its relaxed geometry, from the Alexandria database.

Computed properties:
calculated density = 7.6 g cm⁻³

Unit cell a=4.671 b=4.671 c=4.587 alpha=90.00 beta=90.00 gamma=90.00
Sites, in units of the cell vectors:
As (0.000, 0.000, 0.000)
P (0.000, 0.000, 0.500)
Ir (0.500, 0.500, 0.000)
Se (0.000, 0.500, 0.500)
Se (0.500, 0.000, 0.500)

Entry 3:
The following is a PBE calculation of crystalline ZnCdHg at its relaxed geometry, from the Alexandria database.

Computed properties:
E_form = 106 meV/atom
calculated density = 9.5 g cm⁻³

Unit cell a=4.520 b=4.520 c=3.757 alpha=90.00 beta=90.00 gamma=120.00
Sites, in units of the cell vectors:
Zn (0.000, 0.000, 0.000)
Cd (0.667, 0.333, 0.324)
Hg (0.333, 0.667, 0.738)

| no. | excess energy over the best structure of this formula in the dataset (meV/atom) |
| --- | --- |
| 1 | 170 |
| 2 | 282 |
| 3 | 36 |